Compound: Cs2Rb5Au3O2
Source: the Alexandria database
Functional: PBE
Structure: relaxed

a = 15.2557 Å, b = 15.2557 Å, c = 15.2557 Å
α = 158.74°, β = 158.74°, γ = 30.24°
Fractional coordinates of all 12 atoms:
Cs: 0.1911 0.1911 0.0000
Cs: 0.8088 0.8088 0.0000
Rb: 0.0000 0.0000 0.0000
Rb: 0.0945 0.5945 0.5000
Rb: 0.4055 0.9055 0.5000
Rb: 0.5945 0.0945 0.5000
Rb: 0.9055 0.4055 0.5000
Au: 0.3222 0.3222 0.0000
Au: 0.5000 0.5000 0.0000
Au: 0.6778 0.6778 0.0000
O: 0.0970 0.0970 0.0000
O: 0.9030 0.9030 0.0000

The space group is I4/mmm (139). Its energy relative to the elements, uncorrected is -7.76 eV per formula unit. The calculation puts the total magnetization at 0.02 Bohr magnetons per cell. The density of states at the Fermi level comes out at 0.004 states/eV/atom. Its total DFT energy (no corrections) is -2.838 eV/atom.